Entry 1:
# Ni4B3

A relaxed structure of Ni4B3 (PBE, the Alexandria database).

Values from the calculation:
* D(E_F): 3.37 states/eV/f.u.
* uncorrected energy: -6.44 eV per atom

Cell and atoms, written as POSCAR:
```
Ni4B3
1.0
3.187 -2.448 0.000
3.187 2.448 0.000
-1.640 0.000 7.665
Ni B
8 6
Direct
0.202 0.707 0.508
0.222 0.365 0.210
0.293 0.798 0.992
0.365 0.222 0.710
0.635 0.778 0.290
0.707 0.202 0.008
0.778 0.635 0.790
0.798 0.293 0.492
0.079 0.921 0.250
0.156 0.312 0.940
0.312 0.156 0.440
0.688 0.844 0.560
0.844 0.688 0.060
0.921 0.079 0.750
```


Entry 2:
# PmPr2Sm3As6

A relaxed structure of PmPr2Sm3As6 (PBE, the Alexandria database).

Values from the calculation:
* D(E_F): 1.74 states/eV/f.u.
* uncorrected energy: -6.21 eV per atom

Cell and atoms, written as POSCAR:
```
PmPr2Sm3As6
1.0
9.260 -2.126 0.000
9.260 2.126 0.000
-1.950 0.000 8.271
Pm Pr Sm As
1 2 3 6
Direct
0.000 0.000 0.000
0.334 0.334 0.667
0.666 0.666 0.333
0.000 0.000 0.500
0.333 0.333 0.166
0.667 0.667 0.834
0.165 0.165 0.586
0.167 0.167 0.080
0.499 0.499 0.250
0.501 0.501 0.750
0.833 0.833 0.920
0.835 0.835 0.414
```


Entry 3:
# LaEr2Ir9

A relaxed structure of LaEr2Ir9 (PBE, the Alexandria database).

Values from the calculation:
* D(E_F): 13.43 states/eV/f.u.
* uncorrected energy: -8.41 eV per atom

Cell and atoms, written as POSCAR:
```
LaEr2Ir9
1.0
2.671 1.542 8.739
-2.671 1.542 8.739
0.000 -3.084 8.739
La Er Ir
1 2 9
Direct
0.000 0.000 0.000
0.140 0.140 0.140
0.860 0.860 0.860
0.083 0.583 0.583
0.333 0.333 0.333
0.417 0.417 0.917
0.417 0.917 0.417
0.500 0.500 0.500
0.583 0.083 0.583
0.583 0.583 0.083
0.667 0.667 0.667
0.917 0.417 0.417
```


Entry 4:
# Ti6Ir2N

A relaxed structure of Ti6Ir2N (PBE, the Alexandria database).

Values from the calculation:
* D(E_F): 9.83 states/eV/f.u.
* E_form (uncorrected): -0.65 eV/atom
* uncorrected energy: -8.81 eV per atom

Cell and atoms, written as POSCAR:
```
Ti6Ir2N
1.0
2.976 0.000 0.000
0.000 6.195 3.582
0.000 -6.195 3.582
Ti Ir N
6 2 1
Direct
0.000 0.000 0.000
0.000 0.541 0.763
0.000 0.763 0.541
0.500 0.162 0.792
0.500 0.325 0.325
0.500 0.792 0.162
0.000 0.121 0.463
0.000 0.463 0.121
0.500 0.794 0.794
```


Entry 5:
# SrYBr2

A relaxed structure of SrYBr2 (PBE, the Alexandria database).

Values from the calculation:
* D(E_F): 2.51 states/eV/f.u.
* E_form (uncorrected): -1.07 eV/atom
* uncorrected energy: -3.94 eV per atom

Cell and atoms, written as POSCAR:
```
SrYBr2
1.0
1.880 -3.517 0.000
1.880 3.517 0.000
0.000 0.000 9.903
Sr Y Br
1 1 2
Direct
0.000 0.000 0.000
0.000 0.000 0.500
0.500 0.500 0.265
0.500 0.500 0.735
```


Entry 6:
# LiMgSc2

A relaxed structure of LiMgSc2 (PBE, the Alexandria database).

Values from the calculation:
* D(E_F): 4.92 states/eV/f.u.
* uncorrected energy: -3.92 eV per atom

Cell and atoms, written as POSCAR:
```
LiMgSc2
1.0
3.054 -5.159 0.000
3.054 5.159 0.000
-0.966 0.000 2.910
Li Mg Sc
1 1 2
Direct
0.000 0.000 0.000
0.500 0.500 0.000
0.000 0.500 0.500
0.500 0.000 0.500
```


Entry 7:
# Nb2VSe6

A relaxed structure of Nb2VSe6 (PBE, the Alexandria database).

Values from the calculation:
* D(E_F): 4.81 states/eV/f.u.
* E_form (uncorrected): -0.56 eV/atom
* uncorrected energy: -6.14 eV per atom

Cell and atoms, written as POSCAR:
```
Nb2VSe6
1.0
6.163 0.000 0.000
0.000 6.361 0.000
-6.139 0.000 10.097
Nb V Se
4 2 12
Direct
0.172 0.141 0.245
0.172 0.359 0.745
0.828 0.641 0.255
0.828 0.859 0.755
0.500 0.000 0.000
0.500 0.500 0.500
0.078 0.180 0.916
0.078 0.320 0.416
0.236 0.661 0.918
0.236 0.839 0.418
0.451 0.047 0.774
0.451 0.453 0.274
0.549 0.547 0.726
0.549 0.953 0.226
0.764 0.161 0.582
0.764 0.339 0.082
0.922 0.680 0.584
0.922 0.820 0.084
```


Entry 8:
# Ge2SeIBr

A relaxed structure of Ge2SeIBr (PBE, the Alexandria database).

Values from the calculation:
* D(E_F): 2.90 states/eV/f.u.
* E_form (uncorrected): 0.46 eV/atom
* uncorrected energy: -2.73 eV per atom

Cell and atoms, written as POSCAR:
```
Ge2SeIBr
1.0
5.405 0.000 0.000
0.000 5.405 0.000
0.000 0.000 5.632
Ge Se I Br
2 1 1 1
Direct
0.000 0.500 0.000
0.500 0.000 0.000
0.000 0.000 0.000
0.000 0.000 0.500
0.500 0.500 0.500
```


Entry 9:
# TaAlO4

A relaxed structure of TaAlO4 (PBE, the Alexandria database).

Values from the calculation:
* D(E_F): 0.00 states/eV/f.u.
* E_form (uncorrected): -2.92 eV/atom
* uncorrected energy: -8.82 eV per atom

Cell and atoms, written as POSCAR:
```
TaAlO4
1.0
4.512 0.000 0.000
0.000 11.394 0.000
0.000 0.000 4.806
Ta Al O
4 4 16
Direct
0.000 0.169 0.250
0.000 0.831 0.750
0.500 0.331 0.750
0.500 0.669 0.250
0.000 0.435 0.250
0.000 0.565 0.750
0.500 0.065 0.750
0.500 0.935 0.250
0.226 0.313 0.081
0.226 0.687 0.581
0.233 0.442 0.577
0.233 0.558 0.077
0.267 0.058 0.077
0.267 0.942 0.577
0.274 0.187 0.581
0.274 0.813 0.081
0.726 0.187 0.919
0.726 0.813 0.419
0.733 0.058 0.423
0.733 0.942 0.923
0.767 0.442 0.923
0.767 0.558 0.423
0.774 0.313 0.419
0.774 0.687 0.919
```


Entry 10:
# Cs4RbSr

A relaxed structure of Cs4RbSr (PBE, the Alexandria database).

Values from the calculation:
* D(E_F): 6.52 states/eV/f.u.
* uncorrected energy: -0.85 eV per atom

Cell and atoms, written as POSCAR:
```
Cs4RbSr
1.0
0.000 6.615 6.615
6.615 0.000 6.615
6.615 6.615 0.000
Cs Rb Sr
4 1 1
Direct
0.125 0.125 0.125
0.125 0.125 0.626
0.125 0.626 0.125
0.626 0.125 0.125
0.500 0.500 0.500
0.750 0.750 0.750
```


Entry 11:
# PaS3

A relaxed structure of PaS3 (PBE, the Alexandria database).

Values from the calculation:
* D(E_F): 3.58 states/eV/f.u.
* E_form (uncorrected): -1.06 eV/atom
* uncorrected energy: -6.53 eV per atom

Cell and atoms, written as POSCAR:
```
PaS3
1.0
-1.933 3.902 3.089
1.933 -3.902 3.089
1.933 3.902 -3.089
Pa S
1 3
Direct
0.000 0.000 0.000
0.053 0.730 0.323
0.407 0.730 0.677
0.719 0.219 0.500
```


Entry 12:
# BeVSe

A relaxed structure of BeVSe (PBE, the Alexandria database).

Values from the calculation:
* D(E_F): 1.52 states/eV/f.u.
* E_form (uncorrected): -0.36 eV/atom
* uncorrected energy: -5.80 eV per atom

Cell and atoms, written as POSCAR:
```
BeVSe
1.0
3.480 0.000 0.000
-1.740 3.014 0.000
0.000 0.000 8.639
Be V Se
2 2 2
Direct
0.000 0.000 0.000
0.333 0.667 0.000
0.667 0.333 0.167
0.667 0.333 0.833
0.000 0.000 0.331
0.000 0.000 0.669
```


Entry 13:
# CaIrRh2

A relaxed structure of CaIrRh2 (PBE, the Alexandria database).

Values from the calculation:
* D(E_F): 5.21 states/eV/f.u.
* uncorrected energy: -6.35 eV per atom

Cell and atoms, written as POSCAR:
```
CaIrRh2
1.0
2.802 0.000 0.000
0.000 3.986 0.000
0.000 0.000 6.069
Ca Ir Rh
1 1 2
Direct
0.000 0.000 0.000
0.500 0.500 0.303
0.000 0.000 0.489
0.500 0.500 0.727
```


Entry 14:
# KZnIr

A relaxed structure of KZnIr (PBE, the Alexandria database).

Values from the calculation:
* D(E_F): 1.50 states/eV/f.u.
* uncorrected energy: -3.55 eV per atom

Cell and atoms, written as POSCAR:
```
KZnIr
1.0
-1.428 2.051 5.851
1.428 -2.051 5.851
1.428 2.051 -5.851
K Zn Ir
1 1 1
Direct
0.000 0.000 0.000
0.736 0.736 0.000
0.275 0.275 0.000
```


Entry 15:
# Na2LiHf

A relaxed structure of Na2LiHf (PBE, the Alexandria database).

Values from the calculation:
* D(E_F): 4.71 states/eV/f.u.
* uncorrected energy: -2.71 eV per atom

Cell and atoms, written as POSCAR:
```
Na2LiHf
1.0
0.000 3.754 3.754
3.754 0.000 3.754
3.754 3.754 0.000
Na Li Hf
2 1 1
Direct
0.250 0.250 0.250
0.750 0.750 0.750
0.000 0.000 0.000
0.500 0.500 0.500
```


Entry 16:
# CeErH

A relaxed structure of CeErH (PBE, the Alexandria database).

Values from the calculation:
* D(E_F): 5.06 states/eV/f.u.
* uncorrected energy: -4.84 eV per atom

Cell and atoms, written as POSCAR:
```
CeErH
1.0
7.347 0.000 0.000
0.000 5.680 0.000
-3.401 0.000 6.240
Ce Er H
4 4 4
Direct
0.074 0.248 0.408
0.074 0.252 0.908
0.926 0.748 0.092
0.926 0.752 0.592
0.420 0.737 0.590
0.420 0.763 0.090
0.580 0.237 0.910
0.580 0.263 0.410
0.416 0.146 0.081
0.416 0.354 0.581
0.584 0.646 0.419
0.584 0.854 0.919
```


Entry 17:
# Pm2ErAl4Au3

A relaxed structure of Pm2ErAl4Au3 (PBE, the Alexandria database).

Values from the calculation:
* D(E_F): 6.28 states/eV/f.u.
* uncorrected energy: -4.51 eV per atom

Cell and atoms, written as POSCAR:
```
Pm2ErAl4Au3
1.0
4.321 0.000 0.000
0.000 4.321 0.000
0.000 0.000 11.763
Pm Er Al Au
2 1 4 3
Direct
0.000 0.500 0.232
0.500 0.000 0.768
0.000 0.000 0.500
0.000 0.000 0.000
0.000 0.500 0.666
0.500 0.000 0.334
0.500 0.500 0.000
0.000 0.500 0.878
0.500 0.000 0.122
0.500 0.500 0.500
```


Entry 18:
# InMoH2N

A relaxed structure of InMoH2N (PBE, the Alexandria database).

Values from the calculation:
* D(E_F): 3.25 states/eV/f.u.
* uncorrected energy: -5.41 eV per atom

Cell and atoms, written as POSCAR:
```
InMoH2N
1.0
3.779 0.000 0.000
0.000 3.779 0.000
0.000 0.000 3.972
In Mo H N
1 1 2 1
Direct
0.000 0.000 0.000
0.500 0.500 0.500
0.000 0.500 0.500
0.500 0.000 0.500
0.500 0.500 0.000
```


Entry 19:
# Ac8La5Pr

A relaxed structure of Ac8La5Pr (PBE, the Alexandria database).

Values from the calculation:
* D(E_F): 20.77 states/eV/f.u.
* uncorrected energy: -4.24 eV per atom

Cell and atoms, written as POSCAR:
```
Ac8La5Pr
1.0
-5.177 5.177 5.520
5.177 -5.177 5.520
5.177 5.177 -5.520
Ac La Pr
8 5 1
Direct
0.075 0.681 0.766
0.175 0.279 0.755
0.319 0.085 0.394
0.524 0.420 0.245
0.580 0.825 0.104
0.691 0.925 0.606
0.721 0.476 0.896
0.915 0.309 0.234
0.222 0.622 0.196
0.378 0.575 0.600
0.425 0.026 0.804
0.750 0.250 0.500
0.974 0.778 0.400
0.000 0.000 0.000
```


Entry 20:
# HfV3Bi

A relaxed structure of HfV3Bi (PBE, the Alexandria database).

Values from the calculation:
* D(E_F): 7.17 states/eV/f.u.
* uncorrected energy: -6.78 eV per atom

Cell and atoms, written as POSCAR:
```
HfV3Bi
1.0
4.725 0.000 0.000
0.000 4.725 0.000
0.000 0.000 4.725
Hf V Bi
1 3 1
Direct
0.000 0.000 0.000
0.000 0.000 0.500
0.000 0.500 0.000
0.500 0.000 0.000
0.500 0.500 0.500
```


Entry 21:
# BeAg2As

A relaxed structure of BeAg2As (PBE, the Alexandria database).

Values from the calculation:
* D(E_F): 1.22 states/eV/f.u.
* uncorrected energy: -3.25 eV per atom

Cell and atoms, written as POSCAR:
```
BeAg2As
1.0
4.384 -1.472 0.000
4.384 1.472 0.000
-1.264 0.000 5.062
Be Ag As
1 2 1
Direct
0.000 0.000 0.000
0.272 0.272 0.779
0.728 0.728 0.221
0.500 0.500 0.500
```


Entry 22:
# KPuMn2Br8

A relaxed structure of KPuMn2Br8 (PBE, the Alexandria database).

Values from the calculation:
* D(E_F): 8.94 states/eV/f.u.
* E_form (uncorrected): -1.14 eV/atom
* uncorrected energy: -5.07 eV per atom

Cell and atoms, written as POSCAR:
```
KPuMn2Br8
1.0
6.963 0.000 0.000
-3.481 6.030 0.000
0.000 0.000 10.343
K Pu Mn Br
1 1 2 8
Direct
0.000 0.000 0.000
0.000 0.000 0.500
0.333 0.667 0.753
0.667 0.333 0.247
0.010 0.681 0.327
0.319 0.329 0.327
0.329 0.010 0.673
0.333 0.667 0.986
0.667 0.333 0.014
0.671 0.990 0.327
0.681 0.671 0.673
0.990 0.319 0.673
```


Entry 23:
# La4Y9Er11

A relaxed structure of La4Y9Er11 (PBE, the Alexandria database).

Values from the calculation:
* D(E_F): 30.49 states/eV/f.u.
* uncorrected energy: -5.27 eV per atom

Cell and atoms, written as POSCAR:
```
La4Y9Er11
1.0
8.382 -12.531 0.000
8.382 12.531 0.000
0.000 0.000 3.710
La Y Er
4 9 11
Direct
0.054 0.252 0.000
0.252 0.054 0.000
0.748 0.946 0.000
0.946 0.748 0.000
0.000 0.000 0.000
0.135 0.660 0.000
0.288 0.435 0.000
0.340 0.865 0.000
0.435 0.288 0.000
0.565 0.712 0.000
0.660 0.135 0.000
0.712 0.565 0.000
0.865 0.340 0.000
0.091 0.454 0.500
0.139 0.861 0.500
0.218 0.218 0.500
0.342 0.658 0.500
0.454 0.091 0.500
0.500 0.500 0.500
0.546 0.909 0.500
0.658 0.342 0.500
0.782 0.782 0.500
0.861 0.139 0.500
0.909 0.546 0.500
```